Record 1
Density functional theory data (PBE) for a relaxed structure of Cs2ErSiO4.

Calculated values
formation energy from raw total energies = -2.24 eV per atom

Cell lengths 14.024, 12.714, 7.126 Å; angles 85.01, 64.58, 30.41 degrees
Element x y z (fractional)
Cs (0.054, 0.054, 0.696)
Cs (0.304, 0.304, 0.946)
Cs (0.696, 0.696, 0.054)
Cs (0.946, 0.946, 0.304)
Er (0.125, 0.125, 0.125)
Er (0.875, 0.875, 0.875)
Si (0.375, 0.375, 0.375)
Si (0.625, 0.625, 0.625)
O (0.078, 0.602, 0.525)
O (0.295, 0.525, 0.602)
O (0.398, 0.922, 0.705)
O (0.475, 0.705, 0.922)
O (0.525, 0.295, 0.078)
O (0.602, 0.078, 0.295)
O (0.705, 0.475, 0.398)
O (0.922, 0.398, 0.475)

=====

Record 2
Density functional theory data (PBE) for a relaxed structure of SnTeSe4.

Calculated values
formation energy from raw total energies = -0.17 eV per atom

Cell lengths 6.785, 3.929, 7.213 Å; angles 90.00, 108.25, 90.00 degrees
Element x y z (fractional)
Sn (0.000, 0.000, 0.000)
Te (0.500, 0.500, 0.000)
Se (0.235, 0.500, 0.236)
Se (0.244, 0.000, 0.759)
Se (0.756, 0.000, 0.241)
Se (0.765, 0.500, 0.764)

=====

Record 3
Density functional theory data (PBE) for a relaxed structure of LiMgN3.

Calculated values
formation energy from raw total energies = 1.52 eV per atom

Cell lengths 3.568, 3.568, 3.568 Å; angles 90.00, 90.00, 90.00 degrees
Element x y z (fractional)
Li (0.000, 0.000, 0.000)
Mg (0.500, 0.500, 0.500)
N (0.000, 0.000, 0.500)
N (0.000, 0.500, 0.000)
N (0.500, 0.000, 0.000)

=====

Record 4
Density functional theory data (PBE) for a relaxed structure of Tm2Al2CuNi5.

Calculated values
calculated formation energy = -296.2 meV/atom

Cell lengths 9.653, 9.653, 3.192 Å; angles 90.00, 90.00, 90.00 degrees
Element x y z (fractional)
Tm (0.174, 0.326, 0.000)
Tm (0.326, 0.826, 0.000)
Tm (0.674, 0.174, 0.000)
Tm (0.826, 0.674, 0.000)
Al (0.126, 0.626, 0.000)
Al (0.374, 0.126, 0.000)
Al (0.626, 0.874, 0.000)
Al (0.874, 0.374, 0.000)
Cu (0.000, 0.000, 0.000)
Cu (0.500, 0.500, 0.000)
Ni (0.000, 0.500, 0.500)
Ni (0.054, 0.804, 0.500)
Ni (0.196, 0.054, 0.500)
Ni (0.304, 0.554, 0.500)
Ni (0.446, 0.304, 0.500)
Ni (0.500, 0.000, 0.500)
Ni (0.554, 0.696, 0.500)
Ni (0.696, 0.446, 0.500)
Ni (0.804, 0.946, 0.500)
Ni (0.946, 0.196, 0.500)

=====

Record 5
Density functional theory data (PBE) for a relaxed structure of Ca2ZnSi.

Calculated values
energy relative to the lowest polymorph listed for this composition = 98.9 meV per atom
formation energy from raw total energies = -0.30 eV per atom

Cell lengths 5.148, 5.148, 3.577 Å; angles 90.00, 90.00, 90.00 degrees
Element x y z (fractional)
Ca (0.000, 0.500, 0.000)
Ca (0.500, 0.000, 0.000)
Zn (0.000, 0.000, 0.500)
Si (0.500, 0.500, 0.500)

=====

Record 6
Density functional theory data (PBE) for a relaxed structure of Tb6PrNd3Tm2.

Calculated values
calculated formation energy = 17.4 meV/atom

Cell lengths 6.219, 6.219, 11.900 Å; angles 94.98, 94.98, 119.97 degrees
Element x y z (fractional)
Tb (0.083, 0.417, 0.753)
Tb (0.248, 0.248, 0.247)
Tb (0.417, 0.083, 0.753)
Tb (0.583, 0.917, 0.247)
Tb (0.752, 0.752, 0.753)
Tb (0.917, 0.583, 0.247)
Pr (0.500, 0.500, 0.000)
Nd (0.000, 0.000, 0.500)
Nd (0.333, 0.667, 0.500)
Nd (0.667, 0.333, 0.500)
Tm (0.167, 0.833, 0.000)
Tm (0.833, 0.167, 0.000)

=====

Record 7
Density functional theory data (PBE) for a relaxed structure of Pm6CuIr3.

Calculated values
energy relative to the lowest polymorph listed for this composition = 0.0 meV per atom
calculated formation energy = -473.8 meV/atom

Cell lengths 10.900, 4.294, 12.346 Å; angles 90.00, 110.33, 90.00 degrees
Element x y z (fractional)
Pm (0.028, 0.250, 0.391)
Pm (0.092, 0.250, 0.927)
Pm (0.237, 0.750, 0.303)
Pm (0.329, 0.750, 0.793)
Pm (0.378, 0.750, 0.100)
Pm (0.383, 0.250, 0.561)
Pm (0.617, 0.750, 0.439)
Pm (0.622, 0.250, 0.900)
Pm (0.671, 0.250, 0.207)
Pm (0.763, 0.250, 0.697)
Pm (0.908, 0.750, 0.073)
Pm (0.972, 0.750, 0.609)
Cu (0.431, 0.250, 0.297)
Cu (0.569, 0.750, 0.703)
Ir (0.086, 0.250, 0.172)
Ir (0.195, 0.750, 0.523)
Ir (0.386, 0.250, 0.954)
Ir (0.614, 0.750, 0.046)
Ir (0.805, 0.250, 0.477)
Ir (0.914, 0.750, 0.828)

=====

Record 8
Density functional theory data (PBE) for a relaxed structure of AlCd2Te.

Calculated values
energy relative to the lowest polymorph listed for this composition = 88.9 meV per atom
formation energy from raw total energies = 0.07 eV per atom

Cell lengths 4.522, 3.872, 6.115 Å; angles 90.00, 109.78, 90.00 degrees
Element x y z (fractional)
Al (0.000, 0.000, 0.000)
Cd (0.000, 0.000, 0.500)
Cd (0.500, 0.500, 0.500)
Te (0.500, 0.500, 0.000)

=====

Record 9
Density functional theory data (PBE) for a relaxed structure of Tl2S2Br.

Calculated values
formation energy from raw total energies = -0.35 eV per atom

Cell lengths 4.985, 4.985, 8.945 Å; angles 104.99, 104.99, 48.79 degrees
Element x y z (fractional)
Tl (0.114, 0.114, 0.268)
Tl (0.886, 0.886, 0.732)
S (0.226, 0.226, 0.948)
S (0.774, 0.774, 0.052)
Br (0.500, 0.500, 0.500)

=====

Record 10
Density functional theory data (PBE) for a relaxed structure of CrPt2.

Calculated values
calculated formation energy = 126.5 meV/atom

Cell lengths 3.811, 3.811, 3.641 Å; angles 90.00, 90.00, 90.00 degrees
Element x y z (fractional)
Cr (0.000, 0.000, 0.000)
Pt (0.000, 0.500, 0.500)
Pt (0.500, 0.000, 0.500)

=====

Record 11
Density functional theory data (PBE) for a relaxed structure of Zn2PbAu2.

Calculated values
energy relative to the lowest polymorph listed for this composition = 0.0 meV per atom
calculated formation energy = -141.9 meV/atom

Cell lengths 7.005, 7.005, 7.005 Å; angles 146.88, 146.88, 47.54 degrees
Element x y z (fractional)
Zn (0.250, 0.750, 0.500)
Zn (0.750, 0.250, 0.500)
Pb (0.000, 0.000, 0.000)
Au (0.387, 0.387, 0.000)
Au (0.613, 0.613, 0.000)

=====

Record 12
Density functional theory data (PBE) for a relaxed structure of TlCo2Pd.

Calculated values
energy relative to the lowest polymorph listed for this composition = 0.0 meV per atom
calculated formation energy = 351.7 meV/atom

Cell lengths 4.377, 4.377, 4.377 Å; angles 60.00, 60.00, 60.00 degrees
Element x y z (fractional)
Tl (0.000, 0.000, 0.000)
Co (0.250, 0.250, 0.250)
Co (0.750, 0.750, 0.750)
Pd (0.500, 0.500, 0.500)